a) Compound: TmLuHg
Source: Alexandria via LeMat-Bulk
Functional: PBE-GGA
Structure: relaxed

The structure in POSCAR format:
```
TmLuHg
1.0
3.594 0.000 0.000
0.000 5.080 0.000
0.000 -2.540 4.400
Lu Hg Tm
1 1 1
Direct
0.082 0.000 0.000
0.309 0.333 0.667
0.609 0.667 0.333
```

***

b) Compound: TmLuHg
Source: Alexandria via LeMat-Bulk
Functional: PBE-GGA
Structure: relaxed

The structure in POSCAR format:
```
TmLuHg
1.0
-3.113 -1.152 -1.231
0.180 -2.798 2.161
-1.543 5.274 4.057
Tm Hg Lu
1 1 1
Direct
0.322 0.322 0.644
0.665 0.665 0.331
0.012 0.012 0.025
```

***

Which structure is the least stable? The one labeled a).

***

a) Compound: LuZn2Hg
Source: Alexandria via LeMat-Bulk
Functional: PBE-GGA
Structure: relaxed

The structure in POSCAR format:
```
LuZn2Hg
1.0
-1.250 -3.082 -3.011
3.646 -2.076 0.611
-1.814 -2.277 3.084
Zn Hg Lu
2 1 1
Direct
0.000 0.500 0.000
0.000 0.000 0.500
0.500 0.000 0.000
0.500 0.500 0.500
```

***

b) Compound: LuZn2Hg
Source: Alexandria via LeMat-Bulk
Functional: PBE-GGA
Structure: relaxed

The structure in POSCAR format:
```
LuZn2Hg
1.0
-2.780 0.777 2.033
-1.154 -3.322 -0.308
3.434 -1.688 5.340
Lu Zn Hg
1 2 1
Direct
0.500 0.500 0.500
0.000 0.000 0.762
0.000 0.000 0.238
0.500 0.500 0.000
```

***

c) Compound: LuZn2Hg
Source: Alexandria via LeMat-Bulk
Functional: PBE-GGA
Structure: relaxed

The structure in POSCAR format:
```
LuZn2Hg
1.0
-1.223 3.845 2.540
0.158 -0.141 4.763
3.337 2.466 2.349
Zn Hg Lu
2 1 1
Direct
0.250 0.250 0.250
0.750 0.750 0.750
0.500 0.500 0.500
0.000 0.000 0.000
```

***

Which structure is the least stable? The one labeled b).

***

a) Compound: Lu2ZrHg
Source: Alexandria via LeMat-Bulk
Functional: PBE-GGA
Structure: relaxed

The structure in POSCAR format:
```
Lu2ZrHg
1.0
3.426 0.000 0.000
0.000 3.426 0.000
0.000 0.000 8.560
Lu Hg Zr
2 1 1
Direct
0.000 0.000 0.760
0.000 0.000 0.240
0.500 0.500 0.000
0.500 0.500 0.500
```

***

b) Compound: Lu2ZrHg
Source: Alexandria via LeMat-Bulk
Functional: PBE-GGA
Structure: relaxed

The structure in POSCAR format:
```
Lu2ZrHg
1.0
4.487 0.000 0.000
0.000 4.667 0.000
0.000 0.000 4.667
Hg Zr Lu
1 1 2
Direct
0.500 0.500 0.500
0.500 0.000 0.000
0.000 0.000 0.500
0.000 0.500 0.000
```

***

Which structure is the least stable? The one labeled b).